The following is a GGA-PBE calculation of crystalline Pu2InBi3 at its relaxed geometry, from Alexandria.

POSCAR file:
```
Pu2InBi3
1.0
-1.012 2.906 -3.358
-2.013 -4.837 -3.579
-4.926 1.724 6.064
Bi Pu In
3 2 1
direct
0.326 0.326 0.652
0.674 0.674 0.348
0.000 0.000 0.000
0.662 0.162 0.325
0.338 0.838 0.675
0.000 0.500 0.000
```

Properties
The calculation puts the formation enthalpy at 0 K at -82 meV/atom. As for the distance to the lowest polymorph of the same formula: 162.2 meV/atom. The total moment is 10.4 μB/f.u.